1.
# LiCa2MgCu PBE optimized geometry
# M_tot	0.00	Bohr magnetons per cell
# energy above the lowest structure with this stoichiometry	0	meV/atom
# calculated formation energy	0.0517	eV/atom
# density	1.9	Mg/m³
data_LiCa2MgCu
_chemical_formula_sum 'Li1 Ca2 Mg1 Cu1'
_cell_length_a 5.593
_cell_length_b 5.593
_cell_length_c 4.985
_cell_angle_alpha 90.00
_cell_angle_beta 90.00
_cell_angle_gamma 90.00
_symmetry_space_group_name_H-M 'P 4/m m m'
_symmetry_Int_Tables_number 123
_symmetry_space_group_name_Hall '-P 4 2'
loop_
_atom_site_label
_atom_site_fract_x
_atom_site_fract_y
_atom_site_fract_z
Li1 0.000 0.000 0.000
Ca1 0.000 0.500 0.500
Mg1 0.500 0.500 0.000
Cu1 0.500 0.500 0.500


2.
# LiCaCu2N PBE optimized geometry
# M_tot	0.00	Bohr magnetons per cell
# formation energy (no corrections)	163	meV/atom
# density	4.3	Mg/m³
data_LiCaCu2N
_chemical_formula_sum 'Li1 Ca1 Cu2 N1'
_cell_length_a 4.140
_cell_length_b 4.140
_cell_length_c 4.200
_cell_angle_alpha 90.00
_cell_angle_beta 90.00
_cell_angle_gamma 90.00
_symmetry_space_group_name_H-M 'P 4/m m m'
_symmetry_Int_Tables_number 123
_symmetry_space_group_name_Hall '-P 4 2'
loop_
_atom_site_label
_atom_site_fract_x
_atom_site_fract_y
_atom_site_fract_z
Li1 0.000 0.000 0.000
Ca1 0.500 0.500 0.000
Cu1 0.000 0.500 0.500
N1 0.000 0.000 0.500


3.
# Li2CaCuN PBE optimized geometry
# M_tot	0.00	Bohr magnetons per cell
# formation energy (no corrections)	-197	meV/atom
# density	2.7	Mg/m³
data_Li2CaCuN
_chemical_formula_sum 'Li2 Ca1 Cu1 N1'
_cell_length_a 4.118
_cell_length_b 4.118
_cell_length_c 4.768
_cell_angle_alpha 90.00
_cell_angle_beta 90.00
_cell_angle_gamma 90.00
_symmetry_space_group_name_H-M 'P 4/m m m'
_symmetry_Int_Tables_number 123
_symmetry_space_group_name_Hall '-P 4 2'
loop_
_atom_site_label
_atom_site_fract_x
_atom_site_fract_y
_atom_site_fract_z
Li1 0.000 0.500 0.000
Ca1 0.000 0.000 0.500
Cu1 0.500 0.500 0.500
N1 0.000 0.000 0.000


4.
# LiCa2CuN PBE optimized geometry
# M_tot	0.00	Bohr magnetons per cell
# formation energy (no corrections)	-359	meV/atom
# energy above the lowest structure with this stoichiometry	0	meV/atom
# density	2.9	Mg/m³
data_LiCa2CuN
_chemical_formula_sum 'Li1 Ca2 Cu1 N1'
_cell_length_a 4.874
_cell_length_b 4.874
_cell_length_c 4.009
_cell_angle_alpha 90.00
_cell_angle_beta 90.00
_cell_angle_gamma 90.00
_symmetry_space_group_name_H-M 'P 4/m m m'
_symmetry_Int_Tables_number 123
_symmetry_space_group_name_Hall '-P 4 2'
loop_
_atom_site_label
_atom_site_fract_x
_atom_site_fract_y
_atom_site_fract_z
Li1 0.000 0.000 0.000
Ca1 0.000 0.500 0.500
Cu1 0.500 0.500 0.000
N1 0.000 0.000 0.500


- Which value of M_tot does entry 2 give?
  0.00 Bohr magnetons per cell